{"formula": "Tc3Ir", "functional": "GGA-PBE", "state": "optimized geometry", "space_group": "Fm-3m (225)", "e_form_ev_per_atom": 0.346, "lattice_angstrom": [[6.192, 0.000, 0.000], [0.000, 6.192, 0.000], [0.000, 0.000, 6.192]], "species": ["Tc", "Tc", "Tc", "Tc", "Tc", "Tc", "Tc", "Tc", "Tc", "Tc", "Tc", "Tc", "Ir", "Ir", "Ir", "Ir"], "frac_coords": [[0.000, 0.000, 0.000], [0.000, 0.500, 0.500], [0.250, 0.250, 0.250], [0.250, 0.250, 0.750], [0.250, 0.750, 0.250], [0.250, 0.750, 0.750], [0.500, 0.000, 0.500], [0.500, 0.500, 0.000], [0.750, 0.250, 0.250], [0.750, 0.250, 0.750], [0.750, 0.750, 0.250], [0.750, 0.750, 0.750], [0.000, 0.000, 0.500], [0.000, 0.500, 0.000], [0.500, 0.000, 0.000], [0.500, 0.500, 0.500]]}